Run A
USnGe | PBE-GGA | relaxed

Properties
Space group ... Cmcm, No. 63
M_tot ... 4.77 Bohr magnetons per cell

Lattice parameters (Å, degrees): 4.0529 4.4036 8.0343 105.91 90.00 90.00
Fractional coordinates of all 6 atoms:
U1 0.2500 0.0867 0.1734
U2 0.7500 0.9133 0.8266
Sn1 0.2500 0.7456 0.4912
Sn2 0.7500 0.2544 0.5088
Ge1 0.2500 0.4386 0.8773
Ge2 0.7500 0.5614 0.1227

---

Run B
USnGe | PBE-GGA | relaxed

Properties
Space group ... P3m1, No. 156
M_tot ... 1.34 Bohr magnetons per cell

Lattice parameters (Å, degrees): 3.1271 3.1271 7.7109 90.00 90.00 120.00
Fractional coordinates of all 3 atoms:
Ge1 0.3333 0.6667 0.6651
U1 0.6667 0.3333 0.3454
Sn1 0.0000 0.0000 0.9894

---

Which of them is most stable? Easy: run A.

---

Run A
V2SnGe2 | PBE-GGA | relaxed

Properties
Space group ... P4/mbm, No. 127
M_tot ... 0.00 Bohr magnetons per cell

Lattice parameters (Å, degrees): 7.9294 7.9294 2.7465 90.00 90.00 90.00
Fractional coordinates of all 10 atoms:
Ge1 0.3280 0.8280 0.0000
Ge2 0.8280 0.6720 0.0000
Ge3 0.6720 0.1720 0.0000
Ge4 0.1720 0.3280 0.0000
Sn1 0.0000 0.0000 0.0000
Sn2 0.5000 0.5000 0.0000
V1 0.1134 0.6134 0.5000
V2 0.6134 0.8866 0.5000
V3 0.8866 0.3866 0.5000
V4 0.3866 0.1134 0.5000

---

Run B
V2SnGe2 | PBE-GGA | relaxed

Properties
Space group ... P4/mbm, No. 127
M_tot ... 0.00 Bohr magnetons per cell

Lattice parameters (Å, degrees): 6.9881 6.9881 3.4103 90.00 90.00 90.00
Fractional coordinates of all 10 atoms:
Ge1 0.1469 0.6469 0.5000
Ge2 0.6469 0.8531 0.5000
Ge3 0.8531 0.3531 0.5000
Ge4 0.3531 0.1469 0.5000
Sn1 0.0000 0.0000 0.0000
Sn2 0.5000 0.5000 0.0000
V1 0.3580 0.8580 0.0000
V2 0.8580 0.6420 0.0000
V3 0.6420 0.1420 0.0000
V4 0.1420 0.3580 0.0000

---

Run C
V2SnGe2 | PBE-GGA | relaxed

Properties
Space group ... I4/mmm, No. 139
M_tot ... 0.02 Bohr magnetons per cell

Lattice parameters (Å, degrees): 4.1352 4.1352 6.0754 70.10 70.10 90.00
Fractional coordinates of all 5 atoms:
Ge1 0.3841 0.3841 0.2317
Ge2 0.6159 0.6159 0.7683
Sn1 0.0000 0.0000 0.0000
V1 0.7500 0.2500 0.5000
V2 0.2500 0.7500 0.5000

---

Which of them is most stable? Easy: run B.